Entry from the Alexandria database: a geometry-optimized HgMo2 structure (GGA-PBE).

```
data_HgMo2
_chemical_formula_sum 'Hg4 Mo8'
_cell_length_a 3.0049
_cell_length_b 3.0049
_cell_length_c 24.7913
_cell_angle_alpha 90.00
_cell_angle_beta 90.00
_cell_angle_gamma 90.00
_space_group_name_H-M_alt 'I 41/a m d'
_space_group_IT_number 141
loop_
_space_group_symop_operation_xyz
'x,y,z'
'-x,-y,-z'
'-y+1/4,x+3/4,z+1/4'
'y+1/4,-x+3/4,-z+1/4'
'-x+1/2,-y,z+1/2'
'x+1/2,y,-z+1/2'
'y+1/4,-x+1/4,z+3/4'
'-y+1/4,x+1/4,-z+3/4'
'x,-y,-z'
'-x,y,z'
'-y+1/4,-x+1/4,-z+3/4'
'y+1/4,x+1/4,z+3/4'
'-x+1/2,y,-z+1/2'
'x+1/2,-y,z+1/2'
'y+1/4,x+3/4,-z+1/4'
'-y+1/4,-x+3/4,z+1/4'
'x+1/2,y+1/2,z+1/2'
'-x+1/2,-y+1/2,-z+1/2'
'-y+3/4,x+1/4,z+3/4'
'y+3/4,-x+1/4,-z+3/4'
'-x,-y+1/2,z'
'x,y+1/2,-z'
'y+3/4,-x+3/4,z+1/4'
'-y+3/4,x+3/4,-z+1/4'
'x+1/2,-y+1/2,-z+1/2'
'-x+1/2,y+1/2,z+1/2'
'-y+3/4,-x+3/4,-z+1/4'
'y+3/4,x+3/4,z+1/4'
'-x,y+1/2,-z'
'x,-y+1/2,z'
'y+3/4,x+1/4,-z+3/4'
'-y+3/4,-x+1/4,z+3/4'
loop_
_atom_site_label
_atom_site_type_symbol
_atom_site_fract_x
_atom_site_fract_y
_atom_site_fract_z
Hg1 Hg 0.0000 0.2500 0.3750
Mo1 Mo 0.0000 0.2500 0.7882
```

## Properties
ΔE to the lowest computed polymorph: 0.313 eV/atom
Density: 11.65 g cm⁻³
Calculated formation energy: 69.1 kJ/mol of atoms
Magnetization: 0.0000 μB per atom

Entry from the Alexandria database: a geometry-optimized Pm4Se3F2 structure (GGA-PBE).

```
data_Pm4Se3F2
_chemical_formula_sum 'Pm16 Se12 F8'
_cell_length_a 12.5147
_cell_length_b 9.9757
_cell_length_c 6.7626
_cell_angle_alpha 90.00
_cell_angle_beta 91.95
_cell_angle_gamma 90.00
_space_group_name_H-M_alt 'C 1 2/c 1'
_space_group_IT_number 15
loop_
_space_group_symop_operation_xyz
'x,y,z'
'-x,-y,-z'
'-x,y,-z+1/2'
'x,-y,z+1/2'
'x+1/2,y+1/2,z'
'-x+1/2,-y+1/2,-z'
'-x+1/2,y+1/2,-z+1/2'
'x+1/2,-y+1/2,z+1/2'
loop_
_atom_site_label
_atom_site_type_symbol
_atom_site_fract_x
_atom_site_fract_y
_atom_site_fract_z
Pm1 Pm 0.0981 0.1671 0.0165
Pm2 Pm 0.1398 0.4179 0.4260
Se1 Se 0.0000 0.3770 0.7500
Se2 Se 0.1326 0.1203 0.4498
F1 F 0.2117 0.3599 0.0969
```

## Properties
Energy: -5.941 eV/atom
Density: 6.73 g cm⁻³
Magnetization: 0.0000 μB per atom

Entry from the Alexandria database: a geometry-optimized Na2MnAu structure (GGA-PBE).

```
data_Na2MnAu
_chemical_formula_sum 'Na8 Mn4 Au4'
_cell_length_a 7.0317
_cell_length_b 7.0317
_cell_length_c 7.0317
_cell_angle_alpha 90.00
_cell_angle_beta 90.00
_cell_angle_gamma 90.00
_space_group_name_H-M_alt 'F m -3 m'
_space_group_IT_number 225
_space_group_name_Hall '-F 4 2 3'
loop_
_atom_site_label
_atom_site_type_symbol
_atom_site_fract_x
_atom_site_fract_y
_atom_site_fract_z
Na1 Na 0.2500 0.2500 0.2500
Mn1 Mn 0.0000 0.0000 0.0000
Au1 Au 0.0000 0.0000 0.5000
```

## Properties
ΔE to the lowest computed polymorph: 0.004 eV/atom
Density: 5.69 g cm⁻³
Calculated formation energy: 33.1 kJ/mol of atoms
Magnetization: 1.1139 μB per atom

Entry from the Alexandria database: a geometry-optimized PmDyThIn structure (GGA-PBE).

```
data_PmDyThIn
_chemical_formula_sum 'Pm4 Dy4 Th4 In4'
_cell_length_a 7.7818
_cell_length_b 7.7818
_cell_length_c 7.7818
_cell_angle_alpha 90.00
_cell_angle_beta 90.00
_cell_angle_gamma 90.00
_space_group_name_H-M_alt 'F -4 3 m'
_space_group_IT_number 216
_space_group_name_Hall 'F -4 2 3'
loop_
_atom_site_label
_atom_site_type_symbol
_atom_site_fract_x
_atom_site_fract_y
_atom_site_fract_z
Pm1 Pm 0.0000 0.0000 0.0000
Dy1 Dy 0.0000 0.0000 0.5000
Th1 Th 0.2500 0.2500 0.2500
In1 In 0.2500 0.2500 0.7500
```

## Properties
Density: 9.22 g cm⁻³
Calculated formation energy: -3.6 kJ/mol of atoms
Magnetization: 0.0002 μB per atom

Question: Which value of density does entry 1 give?
Answer: 11.65 g cm⁻³

Question: Among the records above, which one has the highest density?
Answer: HgMo2

Question: What is the formula in the first record?
Answer: HgMo2

Question: Among the records above, which one has the highest density?
Answer: HgMo2